VASP calculation (PBE) on an optimized crystal structure of PrSm2DyEr5.

Properties
The volume is 582.1 Å³/cell. The space-group type is I4/mcm, No. 140. For the uncorrected energy, the calculation gives -4.3581 eV/atom. The calculation puts the total magnetic moment at 0.00 μB per formula unit.

```
data_PrSm2DyEr5
_chemical_formula_sum 'Pr2 Sm4 Dy2 Er10'
_cell_length_a 9.796
_cell_length_b 9.796
_cell_length_c 9.796
_cell_angle_alpha 126.90
_cell_angle_beta 126.90
_cell_angle_gamma 78.41
_space_group_name_H-M_alt 'P 1'
_space_group_IT_number 1
_space_group_name_Hall 'P 1'
loop_
_atom_site_label
_atom_site_type_symbol
_atom_site_fract_x
_atom_site_fract_y
_atom_site_fract_z
Pr1 Pr 0.250 0.250 0.000
Pr2 Pr 0.750 0.750 0.000
Sm1 Sm 0.116 0.616 0.731
Sm2 Sm 0.384 0.116 0.500
Sm3 Sm 0.616 0.884 0.500
Sm4 Sm 0.884 0.384 0.269
Dy1 Dy 0.250 0.750 0.500
Dy2 Dy 0.750 0.250 0.500
Er1 Er 0.000 0.000 0.000
Er2 Er 0.073 0.156 0.500
Er3 Er 0.156 0.656 0.083
Er4 Er 0.344 0.427 0.500
Er5 Er 0.427 0.927 0.083
Er6 Er 0.500 0.500 0.000
Er7 Er 0.573 0.073 0.917
Er8 Er 0.656 0.573 0.500
Er9 Er 0.844 0.344 0.917
Er10 Er 0.927 0.844 0.500
```